CrCo2Re: PBEsol geometry, SCAN.

## Properties
Calculated volume = 11.7 A^3/atom
Offset from the most stable computed form = 184 meV per atom
Calculated formation energy = 1.157 eV/f.u.
Symmetry = No. 166

extended XYZ file:
```
4
Lattice="2.5662 0.0000 0.0000 1.2831 2.2224 0.0000 1.2831 0.7408 8.1846" Properties=species:S:1:pos:R:3 pbc="T T T"
Co 1.2831 0.7408 2.1361
Co 3.8493 2.2224 6.0484
Cr 2.5662 1.4816 4.0923
Re 0.0000 0.0000 0.0000
```

Cr2CoRh: PBEsol geometry, SCAN.

## Properties
Calculated volume = 11.4 A^3/atom
Offset from the most stable computed form = 4 meV per atom
Calculated formation energy = 0.304 eV/f.u.
Symmetry = No. 139

extended XYZ file:
```
4
Lattice="3.5595 0.0000 0.0000 0.0000 3.5595 0.0000 -1.7798 -1.7798 3.6041" Properties=species:S:1:pos:R:3 pbc="T T T"
Rh 0.0000 0.0000 0.0000
Co 1.7798 1.7798 0.0000
Cr 1.7798 0.0000 1.8021
Cr 0.0000 1.7798 1.8021
```